Record 1
First-principles (PBE) data for a geometry-optimized Al8Rh structure, as listed in Alexandria.

a = 6.2681 Å, b = 6.2681 Å, c = 6.2681 Å
α = 95.84°, β = 95.84°, γ = 142.80°
Last column: nearest neighbours and their distance in Å.
Fractional coordinates of all 9 atoms:
Al 0.6732 0.0000 0.6732  1 Rh 2.75, 11 Al 2.79-2.91
Al 0.6607 0.6607 0.3214  10 Al 2.70-2.92, 2 Rh 2.76
Al 0.3393 0.6607 0.0000  10 Al 2.70-2.92, 2 Rh 2.76
Al 0.3268 0.0000 0.3268  1 Rh 2.75, 11 Al 2.79-2.91
Al 0.3393 0.3393 0.6786  10 Al 2.70-2.92, 2 Rh 2.76
Al 0.0000 0.3268 0.3268  1 Rh 2.75, 11 Al 2.79-2.91
Al 0.6607 0.3393 0.0000  10 Al 2.70-2.92, 2 Rh 2.76
Al 0.0000 0.6732 0.6732  1 Rh 2.75, 11 Al 2.79-2.91
Rh 0.0000 0.0000 0.0000  12 Al 2.75-2.76

Calculated values
**DOS at the Fermi energy**: 0.395 states/eV per atom

Record 2
First-principles (PBE) data for a geometry-optimized Er2Mg2Zn15 structure, as listed in Alexandria.

a = 6.8526 Å, b = 6.8526 Å, c = 6.8526 Å
α = 82.55°, β = 82.55°, γ = 82.55°
Last column: nearest neighbours and their distance in Å.
Fractional coordinates of all 19 atoms:
Zn 0.0000 0.2981 0.7019  8 Zn 2.61-2.81
Zn 0.0000 0.7019 0.2981  8 Zn 2.61-2.81
Zn 0.5000 0.0000 0.0000  8 Zn 2.61-2.67, 2 Mg 2.74
Zn 0.6445 0.1621 0.6445  8 Zn 2.55-2.81
Zn 0.3555 0.3555 0.8379  8 Zn 2.55-2.81
Zn 0.7019 0.0000 0.2981  8 Zn 2.61-2.81
Zn 0.2981 0.0000 0.7019  8 Zn 2.61-2.81
Zn 0.0000 0.5000 0.0000  8 Zn 2.61-2.67, 2 Mg 2.74
Zn 0.7019 0.2981 0.0000  8 Zn 2.61-2.81
Zn 0.1621 0.6445 0.6445  8 Zn 2.55-2.81
Zn 0.3555 0.8379 0.3555  8 Zn 2.55-2.81
Zn 0.0000 0.0000 0.5000  8 Zn 2.61-2.67, 2 Mg 2.74
Zn 0.6445 0.6445 0.1621  8 Zn 2.55-2.81
Zn 0.8379 0.3555 0.3555  8 Zn 2.55-2.81
Zn 0.2981 0.7019 0.0000  8 Zn 2.61-2.81
Er 0.6565 0.6565 0.6565  15 Zn 3.14-3.45, 1 Mg 3.18
Er 0.3435 0.3435 0.3435  15 Zn 3.14-3.45, 1 Mg 3.18
Mg 0.1046 0.1046 0.1046  12 Zn 2.74-3.03, 1 Mg 2.79
Mg 0.8954 0.8954 0.8954  12 Zn 2.74-3.03, 1 Mg 2.79

Calculated values
**DOS at the Fermi energy**: 0.204 states/eV per atom

Record 3
First-principles (PBE) data for a geometry-optimized TaNbPd2 structure, as listed in Alexandria.

a = 7.2523 Å, b = 7.2523 Å, c = 5.8053 Å
α = 51.34°, β = 51.34°, γ = 90.00°
Last column: nearest neighbours and their distance in Å.
Fractional coordinates of all 8 atoms:
Nb 0.5000 0.5000 0.0000  4 Pd 2.69, 2 Ta 2.72
Nb 0.2500 0.7500 0.5000  4 Pd 2.69, 2 Ta 2.72
Ta 0.7500 0.2500 0.5000  4 Pd 2.61, 2 Nb 2.72
Ta 0.0000 0.0000 0.0000  4 Pd 2.61, 2 Nb 2.72
Pd 0.8750 0.8830 0.7500  2 Ta 2.61, 2 Nb 2.69, 2 Pd 2.72
Pd 0.1170 0.6250 0.2500  2 Ta 2.61, 2 Nb 2.69, 2 Pd 2.72
Pd 0.6330 0.1250 0.2500  2 Ta 2.61, 2 Nb 2.69, 2 Pd 2.72
Pd 0.3750 0.3670 0.7500  2 Ta 2.61, 2 Nb 2.69, 2 Pd 2.72

Calculated values
**DOS at the Fermi energy**: 1.142 states/eV per atom
**Energy relative to the lowest polymorph listed for this composition**: 47.8 kJ per mole of atoms

Record 4
First-principles (PBE) data for a geometry-optimized Y2CrSiAu structure, as listed in Alexandria.

a = 5.1583 Å, b = 4.7866 Å, c = 5.1583 Å
α = 90.00°, β = 90.00°, γ = 90.00°
Last column: nearest neighbours and their distance in Å.
Fractional coordinates of all 5 atoms:
Au 0.0000 0.5000 0.0000  2 Cr 2.39
Y 0.0000 0.0000 0.5000  2 Cr 2.58
Y 0.5000 0.0000 0.0000  2 Cr 2.58
Cr 0.0000 0.0000 0.0000  2 Au 2.39, 4 Y 2.58
Si 0.5000 0.5000 0.5000  8 Y 3.52, 4 Au 3.65

Calculated values
**DOS at the Fermi energy**: 0.899 states/eV per atom
**E_form (uncorrected)**: 12.32 kcal/mol of atoms

Record 5
First-principles (PBE) data for a geometry-optimized CaSnPb2 structure, as listed in Alexandria.

a = 8.7538 Å, b = 8.7538 Å, c = 7.0342 Å
α = 51.52°, β = 51.52°, γ = 90.00°
Last column: nearest neighbours and their distance in Å.
Fractional coordinates of all 8 atoms:
Pb 0.3750 0.3443 0.7500  2 Sn 3.03, 2 Pb 3.38
Pb 0.8750 0.9057 0.7500  2 Sn 3.03, 2 Pb 3.38
Pb 0.0943 0.6250 0.2500  2 Sn 3.03, 2 Pb 3.38
Pb 0.6557 0.1250 0.2500  2 Sn 3.03, 2 Pb 3.38
Ca 0.5000 0.5000 0.0000  2 Sn 3.34, 4 Pb 3.39
Ca 0.2500 0.7500 0.5000  2 Sn 3.34, 4 Pb 3.39
Sn 0.7500 0.2500 0.5000  4 Pb 3.03, 2 Ca 3.34
Sn 0.0000 0.0000 0.0000  4 Pb 3.03, 2 Ca 3.34

Calculated values
**DOS at the Fermi energy**: 0.141 states/eV per atom

Record 6
First-principles (PBE) data for a geometry-optimized KMgAlSb2 structure, as listed in Alexandria.

a = 4.4955 Å, b = 7.7465 Å, c = 10.0540 Å
α = 79.52°, β = 77.08°, γ = 73.13°
Last column: nearest neighbours and their distance in Å.
Fractional coordinates of all 10 atoms:
Sb 0.4471 0.7689 0.3369  2 Al 2.76, 1 Mg 2.83
Sb 0.5529 0.2311 0.6631  2 Al 2.76, 1 Mg 2.83
Sb 0.1570 0.7611 0.9249  2 Al 2.73-2.83, 3 Mg 2.83-2.89
Sb 0.8430 0.2389 0.0751  2 Al 2.73-2.83, 3 Mg 2.83-2.89
Mg 0.3543 0.3731 0.9182  4 Sb 2.83-2.89
Mg 0.6457 0.6269 0.0818  4 Sb 2.83-2.89
Al 0.0349 0.1173 0.8128  4 Sb 2.73-2.83
Al 0.9651 0.8827 0.1872  4 Sb 2.73-2.83
K 0.1796 0.2765 0.3644  5 Sb 3.66-3.81
K 0.8204 0.7235 0.6356  5 Sb 3.66-3.81

Calculated values
**E_form (uncorrected)**: -8.64 kcal/mol of atoms

Record 7
First-principles (PBE) data for a geometry-optimized AlSbOs2 structure, as listed in Alexandria.

a = 4.1417 Å, b = 4.1417 Å, c = 9.0752 Å
α = 76.81°, β = 76.81°, γ = 90.00°
Last column: nearest neighbours and their distance in Å.
Fractional coordinates of all 8 atoms:
Os 0.1857 0.6250 0.2500  2 Al 2.51, 2 Os 2.60, 2 Sb 2.71
Os 0.5643 0.1250 0.2500  2 Al 2.51, 2 Os 2.60, 2 Sb 2.71
Os 0.8750 0.8143 0.7500  2 Al 2.51, 2 Os 2.60, 2 Sb 2.71
Os 0.3750 0.4357 0.7500  2 Al 2.51, 2 Os 2.60, 2 Sb 2.71
Al 0.2500 0.7500 0.5000  4 Os 2.51
Al 0.5000 0.5000 0.0000  4 Os 2.51
Sb 0.7500 0.2500 0.5000  4 Os 2.71, 4 Al 2.93
Sb 0.0000 0.0000 0.0000  4 Os 2.71, 4 Al 2.93

Calculated values
**DOS at the Fermi energy**: 1.024 states/eV per atom
**E_form (uncorrected)**: 13.14 kcal/mol of atoms
**Energy relative to the lowest polymorph listed for this composition**: 47.9 kJ per mole of atoms

| no. | VASP energy (eV/f.u.) |
| --- | --- |
| 1 | -39.28 |
| 2 | -35.47 |
| 3 | -31.57 |
| 4 | -28.58 |
| 5 | -14.15 |
| 6 | -16.55 |
| 7 | -28.05 |